YCr2Rh: relaxed, GGA-PBEsol.

Lattice parameters (Å, degrees): 3.1208 4.2587 5.3212 113.59 107.05 90.00
With the nearest neighbours (Å) after each atom.
Fractional positions:
Cr1 0.7597 0.7597 0.5194  4 Cr 2.65, 2 Rh 2.71, 2 Y 2.86
Cr2 0.2403 0.2403 0.4806  4 Cr 2.65, 2 Rh 2.71, 2 Y 2.86
Rh1 0.5000 0.0000 0.0000  4 Y 2.64, 4 Cr 2.71
Y1 0.0000 0.5000 0.0000  4 Rh 2.64, 4 Cr 2.86

Computed properties:
E above lowest polymorph: 0.236 eV/atom
E_form: 0.382 eV per atom
spin magnetization: 1.50 μB/f.u.



P2IrPb: relaxed, GGA-PBEsol.

Lattice parameters (Å, degrees): 3.8149 3.8149 6.2989 72.37 72.37 60.00
With the nearest neighbours (Å) after each atom.
Fractional positions:
Ir1 0.0000 0.0000 0.0000  6 P 2.41
P1 0.2784 0.2784 0.1648  3 Ir 2.41
P2 0.7216 0.7216 0.8352  3 Ir 2.41
Pb1 0.5000 0.5000 0.5000  6 P 2.96

Computed properties:
E_form: -0.121 eV per atom
spin magnetization: 0.00 μB/f.u.



SrLi: relaxed, GGA-PBEsol.

Lattice parameters (Å, degrees): 4.8564 4.8564 4.8564 60.00 60.00 60.00
With the nearest neighbours (Å) after each atom.
Fractional positions:
Sr1 0.5000 0.5000 0.5000  6 Li 3.43
Li1 0.0000 0.0000 0.0000  6 Sr 3.43

Computed properties:
E above lowest polymorph: 0.197 eV/atom
E_form: 0.225 eV per atom
spin magnetization: 0.00 μB/f.u.



FeRe8: relaxed, GGA-PBEsol.

Lattice parameters (Å, degrees): 3.8374 6.0807 6.0807 84.29 71.61 71.61
With the nearest neighbours (Å) after each atom.
Fractional positions:
Fe1 0.0000 0.0000 0.0000  12 Re 2.67-2.68
Re1 0.3266 0.6734 0.6734  1 Fe 2.67, 11 Re 2.69-2.83
Re2 0.6734 0.3266 0.3266  1 Fe 2.67, 11 Re 2.69-2.83
Re3 0.0000 0.3266 0.6734  1 Fe 2.67, 11 Re 2.69-2.83
Re4 0.3382 0.0000 0.3236  10 Re 2.64-2.80, 2 Fe 2.68
Re5 0.6618 0.6764 0.0000  10 Re 2.64-2.80, 2 Fe 2.68
Re6 0.0000 0.6734 0.3266  1 Fe 2.67, 11 Re 2.69-2.83
Re7 0.3382 0.3236 0.0000  10 Re 2.64-2.80, 2 Fe 2.68
Re8 0.6618 0.0000 0.6764  10 Re 2.64-2.80, 2 Fe 2.68

Computed properties:
E_form: 0.078 eV per atom
spin magnetization: 0.00 μB/f.u.



La2Ti3O9: relaxed, GGA-PBEsol.

Lattice parameters (Å, degrees): 5.4455 8.6208 8.6693 66.59 71.70 71.59
With the nearest neighbours (Å) after each atom.
Fractional positions:
Ti1 0.0823 0.5810 0.2545  6 O 1.91-1.99
Ti2 0.2523 0.7619 0.7335  6 O 1.86-2.07
Ti3 0.4100 0.9216 0.2585  6 O 1.87-2.01
Ti4 0.5900 0.0784 0.7415  6 O 1.87-2.01
Ti5 0.7477 0.2381 0.2665  6 O 1.86-2.07
Ti6 0.9177 0.4190 0.7455  6 O 1.91-1.99
O1 0.0000 0.5000 0.5000  2 Ti 1.91
O2 0.1729 0.6553 0.9989  2 Ti 1.99-2.07
O3 0.3475 0.8085 0.4964  2 Ti 1.86-1.87
O4 0.2665 0.7521 0.2297  2 Ti 1.94-1.98
O5 0.0955 0.5732 0.7582  2 Ti 1.93-1.98
O6 0.5000 0.0000 0.0000  2 Ti 2.01
O7 0.4077 0.9065 0.7760  2 Ti 1.91
O8 0.0901 0.0935 0.2240  2 Ti 1.91
O9 0.2484 0.2479 0.7703  2 Ti 1.94-1.98
O10 0.4269 0.4268 0.2418  2 Ti 1.93-1.98
O11 0.5731 0.5732 0.7582  2 Ti 1.93-1.98
O12 0.7516 0.7521 0.2297  2 Ti 1.94-1.98
O13 0.9099 0.9065 0.7760  2 Ti 1.91
O14 0.6525 0.1915 0.5036  2 Ti 1.86-1.87
O15 0.8271 0.3447 0.0011  2 Ti 1.99-2.07
O16 0.5923 0.0935 0.2240  2 Ti 1.91
O17 0.7335 0.2479 0.7703  2 Ti 1.94-1.98
O18 0.9045 0.4268 0.2418  2 Ti 1.93-1.98
La1 0.0000 0.0000 0.0000  12 O 2.60-2.82
La2 0.3321 0.3350 0.0008  12 O 2.60-2.74
La3 0.5000 0.5000 0.5000  12 O 2.51-2.81
La4 0.6679 0.6650 0.9992  12 O 2.60-2.74

Computed properties:
E above lowest polymorph: 0.000 eV/atom
raw formation energy: -3.289 eV per atom
spin magnetization: 0.00 μB/f.u.



InCo3I: relaxed, GGA-PBEsol.

Lattice parameters (Å, degrees): 4.6932 4.6932 4.6932 90.00 90.00 90.00
With the nearest neighbours (Å) after each atom.
Fractional positions:
I1 0.5000 0.5000 0.5000  12 Co 3.32
Co1 0.0000 0.5000 0.0000  2 In 2.35
Co2 0.0000 0.0000 0.5000  2 In 2.35
Co3 0.5000 0.0000 0.0000  2 In 2.35
In1 0.0000 0.0000 0.0000  6 Co 2.35

Computed properties:
raw formation energy: 1.582 eV per atom
spin magnetization: 3.95 μB/f.u.